A geometry-optimized P2Ir structure. Source: Alexandria via LeMat-Bulk, functional GGA-PBE.

a = 4.6328 Å, b = 2.8648 Å, c = 8.2555 Å
α = 90.00°, β = 103.91°, γ = 90.00°
Closest atoms and distances in Å follow each position.
Atoms (fractional coordinates):
P 0.2118 0.5000 0.1164  1 P 2.15, 2 Ir 2.35-2.40
P 0.2118 0.0000 0.6164  1 P 2.15, 2 Ir 2.35-2.40
Ir 0.6882 0.0000 0.5491  5 P 2.31-2.40
Ir 0.6882 0.5000 0.0491  5 P 2.31-2.40
P 0.5964 0.5000 0.3228  1 P 2.15, 3 Ir 2.31-2.40
P 0.5964 0.0000 0.8228  1 P 2.15, 3 Ir 2.31-2.40

DOS at the Fermi energy = 1.01 states/eV/f.u.
Space group = No. 8
Energy relative to the elements = -0.137 eV/atom